Entry 1:
A geometry-optimized SrPaPt structure, computed with PBE-GGA.

Summary:
Energy above the most stable polymorph in this dataset   0.0000 eV per atom
Space group   No. 216

Cell lengths 4.9988, 4.9988, 4.9988 Å; angles 60.00, 60.00, 60.00 degrees
Closest atoms and distances in Å follow each position.
Positions (direct):
Pa (0.2500, 0.2500, 0.2500)  4 Pt 3.06
Pt (0.0000, 0.0000, 0.0000)  4 Pa 3.06, 4 Sr 3.06
Sr (0.7500, 0.7500, 0.7500)  4 Pt 3.06

---

Entry 2:
A geometry-optimized NaCo3 structure, computed with PBE-GGA.

Summary:
Space group   No. 221

Cell lengths 3.7108, 3.7108, 3.7108 Å; angles 90.00, 90.00, 90.00 degrees
Closest atoms and distances in Å follow each position.
Positions (direct):
Co (0.5000, 0.5000, 0.0000)  8 Co 2.62, 4 Na 2.62
Co (0.5000, 0.0000, 0.5000)  8 Co 2.62, 4 Na 2.62
Co (0.0000, 0.5000, 0.5000)  8 Co 2.62, 4 Na 2.62
Na (0.0000, 0.0000, 0.0000)  12 Co 2.62

---

Entry 3:
A geometry-optimized LaAl2Hg structure, computed with PBE-GGA.

Summary:
Space group   No. 63

Cell lengths 6.8734, 6.8734, 4.5971 Å; angles 90.00, 90.00, 119.30 degrees
Closest atoms and distances in Å follow each position.
Positions (direct):
Al (0.2150, 0.3525, 0.2500)  3 Al 2.82-3.00, 3 Hg 2.90-2.98
Al (0.6475, 0.7850, 0.2500)  3 Al 2.82-3.00, 3 Hg 2.90-2.98
Al (0.3525, 0.2150, 0.7500)  3 Al 2.82-3.00, 3 Hg 2.90-2.98
Al (0.7850, 0.6475, 0.7500)  3 Al 2.82-3.00, 3 Hg 2.90-2.98
Hg (0.6479, 0.3521, 0.2500)  6 Al 2.90-2.98, 2 La 3.23
Hg (0.3521, 0.6479, 0.7500)  6 Al 2.90-2.98, 2 La 3.23
La (0.1610, 0.8390, 0.2500)  8 Al 3.22-3.54, 4 Hg 3.23-3.48
La (0.8390, 0.1610, 0.7500)  8 Al 3.22-3.54, 4 Hg 3.23-3.48

---

Going through the records in order, we get E values of -5.80 -4.88 -3.55 eV per atom.